Entry 1:
Nd8Sb2S15 after structural relaxation, computed with PBE-GGA.

Calculated values
VASP energy	-6.04	eV/atom
DOS(E_F)	0.0	states/eV/cell
SG	No. 110

Lattice parameters (Å, degrees): 14.925 14.925 14.925 116.49 116.49 96.19
Fractional positions:
Nd1 0.022 0.678 0.929
Nd2 0.035 0.406 0.671
Nd3 0.114 0.285 0.130
Nd4 0.152 0.020 0.172
Nd5 0.156 0.984 0.870
Nd6 0.165 0.460 0.994
Nd7 0.210 0.716 0.794
Nd8 0.230 0.598 0.328
Nd9 0.234 0.906 0.370
Nd10 0.248 0.178 0.656
Nd11 0.270 0.902 0.672
Nd12 0.343 0.498 0.571
Nd13 0.348 0.520 0.867
Nd14 0.421 0.216 0.506
Nd15 0.428 0.998 0.156
Nd16 0.466 0.171 0.006
Nd17 0.522 0.593 0.344
Nd18 0.535 0.864 0.630
Nd19 0.614 0.484 0.829
Nd20 0.652 0.480 0.133
Nd21 0.656 0.785 0.171
Nd22 0.665 0.671 0.706
Nd23 0.710 0.915 0.494
Nd24 0.730 0.402 0.633
Nd25 0.734 0.364 0.329
Nd26 0.748 0.093 0.071
Nd27 0.770 0.098 0.367
Nd28 0.843 0.272 0.844
Nd29 0.848 0.980 0.828
Nd30 0.921 0.415 0.206
Nd31 0.928 0.772 0.429
Nd32 0.966 0.960 0.294
Sb1 0.001 0.114 0.680
Sb2 0.071 0.251 0.386
Sb3 0.364 0.751 0.180
Sb4 0.434 0.321 0.320
Sb5 0.501 0.821 0.886
Sb6 0.571 0.184 0.820
Sb7 0.864 0.684 0.614
Sb8 0.934 0.614 0.114
S1 0.012 0.182 0.488
S2 0.031 0.440 0.087
S3 0.039 0.648 0.318
S4 0.039 0.839 0.147
S5 0.041 0.235 0.888
S6 0.067 0.067 0.000
S7 0.089 0.789 0.647
S8 0.117 0.939 0.491
S9 0.142 0.442 0.353
S10 0.189 0.867 0.991
S11 0.190 0.603 0.910
S12 0.192 0.339 0.800
S13 0.193 0.103 0.413
S14 0.195 0.498 0.651
S15 0.195 0.682 0.170
S16 0.248 0.097 0.803
S17 0.275 0.262 0.330
S18 0.294 0.445 0.197
S19 0.317 0.817 0.500
S20 0.330 0.721 0.682
S21 0.347 0.153 0.112
S22 0.347 0.998 0.303
S23 0.353 0.943 0.913
S24 0.376 0.367 0.677
S25 0.398 0.580 0.109
S26 0.403 0.097 0.612
S27 0.432 0.762 0.988
S28 0.449 0.626 0.509
S29 0.471 0.289 0.891
S30 0.485 0.791 0.388
S31 0.512 0.025 0.830
S32 0.531 0.443 0.590
S33 0.539 0.221 0.391
S34 0.539 0.392 0.200
S35 0.541 0.653 0.806
S36 0.567 0.567 0.000
S37 0.589 0.942 0.300
S38 0.617 0.126 0.177
S39 0.642 0.289 0.700
S40 0.689 0.699 0.323
S41 0.690 0.781 0.587
S42 0.692 0.892 0.853
S43 0.693 0.281 0.090
S44 0.695 0.044 0.697
S45 0.695 0.525 0.512
S46 0.748 0.945 0.151
S47 0.775 0.445 0.012
S48 0.794 0.597 0.849
S49 0.817 0.317 0.500
S50 0.830 0.148 0.609
S51 0.847 0.544 0.349
S52 0.847 0.735 0.194
S53 0.853 0.940 0.410
S54 0.876 0.199 0.009
S55 0.898 0.789 0.818
S56 0.903 0.291 0.306
S57 0.932 0.945 0.670
S58 0.949 0.439 0.823
S59 0.971 0.080 0.182
S60 0.985 0.597 0.694



Entry 2:
YCo4Ru after structural relaxation, computed with PBE-GGA.

Calculated values
DOS(E_F)	6.0	states/eV/cell
SG	No. 216
formation energy	-4	kJ/mol of formula units

Lattice parameters (Å, degrees): 4.900 4.900 4.900 60.00 60.00 60.00
Fractional positions:
Y1 0.000 0.000 0.000
Co1 0.125 0.625 0.625
Co2 0.625 0.125 0.625
Co3 0.625 0.625 0.125
Co4 0.625 0.625 0.625
Ru1 0.250 0.250 0.250



Entry 3:
KBa2SrTl after structural relaxation, computed with PBE-GGA.

Calculated values
DOS(E_F)	5.6	states/eV/cell
SG	No. 123
formation energy	-29	kJ/mol of formula units

Lattice parameters (Å, degrees): 6.873 6.873 6.622 90.00 90.00 90.00
Fractional positions:
K1 0.000 0.000 0.000
Ba1 0.000 0.500 0.500
Ba2 0.500 0.000 0.500
Sr1 0.500 0.500 0.000
Tl1 0.500 0.500 0.500



Entry 4:
Ca3Mg2Zn2 after structural relaxation, computed with PBE-GGA.

Calculated values
DOS(E_F)	3.2	states/eV/cell
SG	No. 65
formation energy	-36	kJ/mol of formula units

Lattice parameters (Å, degrees): 16.132 16.132 3.454 90.00 90.00 167.63
Fractional positions:
Ca1 0.000 0.000 0.000
Ca2 0.401 0.599 0.500
Ca3 0.599 0.401 0.500
Mg1 0.291 0.709 0.500
Mg2 0.709 0.291 0.500
Zn1 0.161 0.839 0.000
Zn2 0.839 0.161 0.000



Entry 5:
LiHg2PS4 after structural relaxation, computed with PBE-GGA.

Calculated values
VASP energy	-3.42	eV/atom
SG	No. 31

Lattice parameters (Å, degrees): 7.047 8.776 6.151 90.00 90.00 90.00
Fractional positions:
Li1 0.000 0.076 0.000
Li2 0.500 0.924 0.500
Hg1 0.189 0.361 0.553
Hg2 0.311 0.639 0.053
Hg3 0.689 0.639 0.053
Hg4 0.811 0.361 0.553
P1 0.000 0.796 0.493
P2 0.500 0.204 0.993
S1 0.000 0.017 0.577
S2 0.000 0.786 0.142
S3 0.250 0.308 0.084
S4 0.250 0.692 0.584
S5 0.500 0.214 0.642
S6 0.500 0.983 0.077
S7 0.750 0.308 0.084
S8 0.750 0.692 0.584



Entry 6:
Tb2TmI after structural relaxation, computed with PBE-GGA.

Calculated values
VASP energy	-4.17	eV/atom
DOS(E_F)	5.9	states/eV/cell
SG	No. 160

Lattice parameters (Å, degrees): 10.601 10.601 10.601 20.40 20.40 20.40
Fractional positions:
Tb1 0.000 0.000 0.000
Tb2 0.174 0.174 0.174
Tm1 0.754 0.754 0.754
I1 0.587 0.587 0.587



Please write out number 5 again, unchanged.
LiHg2PS4 after structural relaxation, computed with PBE-GGA.

Calculated values
VASP energy	-3.42	eV/atom
SG	No. 31

Lattice parameters (Å, degrees): 7.047 8.776 6.151 90.00 90.00 90.00
Fractional positions:
Li1 0.000 0.076 0.000
Li2 0.500 0.924 0.500
Hg1 0.189 0.361 0.553
Hg2 0.311 0.639 0.053
Hg3 0.689 0.639 0.053
Hg4 0.811 0.361 0.553
P1 0.000 0.796 0.493
P2 0.500 0.204 0.993
S1 0.000 0.017 0.577
S2 0.000 0.786 0.142
S3 0.250 0.308 0.084
S4 0.250 0.692 0.584
S5 0.500 0.214 0.642
S6 0.500 0.983 0.077
S7 0.750 0.308 0.084
S8 0.750 0.692 0.584